# SCAN Zn2SnHgBi, single point on PBEsol structure
# Formation energy from the elements (eV/atom): 0.7191
data_Zn2SnHgBi
_chemical_formula_sum 'Zn2 Sn1 Hg1 Bi1'
_cell_length_a 5.221
_cell_length_b 5.221
_cell_length_c 5.640
_cell_angle_alpha 90.00
_cell_angle_beta 90.00
_cell_angle_gamma 90.00
_symmetry_space_group_name_H-M 'P 4/m m m'
_symmetry_Int_Tables_number 123
_symmetry_space_group_name_Hall '-P 4 2'
loop_
_atom_site_label
_atom_site_fract_x
_atom_site_fract_y
_atom_site_fract_z
Zn1 0.000 0.500 0.000
Sn1 0.000 0.000 0.500
Hg1 0.500 0.500 0.500
Bi1 0.500 0.500 0.000